# BaGa2Ag10 (GGA-PBE, optimized geometry)
data_BaGa2Ag10
_chemical_formula_sum 'Ba1 Ga2 Ag10'
_symmetry_space_group_name_H-M 'P 1'
_symmetry_Int_Tables_number 1
_cell_length_a 9.7625
_cell_length_b 7.6028
_cell_length_c 7.2419
_cell_angle_alpha 82.20
_cell_angle_beta 50.50
_cell_angle_gamma 47.30
loop_
_symmetry_equiv_pos_as_xyz
'x,y,z'
loop_
_atom_site_label
_atom_site_fract_x
_atom_site_fract_y
_atom_site_fract_z
Ba1 0.0000 0.0000 0.0000
Ga1 0.0000 0.5000 0.0000
Ga2 0.5000 0.0000 0.5000
Ag1 0.0000 0.0000 0.5000
Ag2 0.0004 0.3535 0.6465
Ag3 0.9996 0.6465 0.3535
Ag4 0.2707 0.4934 0.5066
Ag5 0.3535 0.0004 0.9996
Ag6 0.4934 0.2707 0.7293
Ag7 0.5000 0.5000 0.0000
Ag8 0.5066 0.7293 0.2707
Ag9 0.6465 0.9996 0.0004
Ag10 0.7293 0.5066 0.4934
# Calculated formation energy, eV/f.u.: -0.96
# SG: Fmmm
# Density, g cm⁻³: 8.7
# DFT total energy, eV/atom: -2.881

***

# Ba2LiSi (GGA-PBE, optimized geometry)
data_Ba2LiSi
_chemical_formula_sum 'Ba6 Li3 Si3'
_symmetry_space_group_name_H-M 'P 1'
_symmetry_Int_Tables_number 1
_cell_length_a 4.7177
_cell_length_b 4.7177
_cell_length_c 26.0249
_cell_angle_alpha 90.00
_cell_angle_beta 90.00
_cell_angle_gamma 120.00
loop_
_symmetry_equiv_pos_as_xyz
'x,y,z'
loop_
_atom_site_label
_atom_site_fract_x
_atom_site_fract_y
_atom_site_fract_z
Ba1 0.0000 0.0000 0.0000
Ba2 0.0000 0.0000 0.1579
Ba3 0.3333 0.6667 0.6667
Ba4 0.3333 0.6667 0.8246
Ba5 0.6667 0.3333 0.3333
Ba6 0.6667 0.3333 0.4912
Li1 0.0000 0.0000 0.4123
Li2 0.3333 0.6667 0.0790
Li3 0.6667 0.3333 0.7456
Si1 0.0000 0.0000 0.7461
Si2 0.3333 0.6667 0.4127
Si3 0.6667 0.3333 0.0794
# SG: R3m
# Density, g cm⁻³: 3.1
# ΔE_f (raw), meV/atom: -243.6
# DFT total energy, eV/atom: -3.039

***

# TaTc2Pb (GGA-PBE, optimized geometry)
data_TaTc2Pb
_chemical_formula_sum 'Ta1 Tc2 Pb1'
_symmetry_space_group_name_H-M 'P 1'
_symmetry_Int_Tables_number 1
_cell_length_a 3.0772
_cell_length_b 4.0663
_cell_length_c 5.7440
_cell_angle_alpha 90.00
_cell_angle_beta 90.02
_cell_angle_gamma 90.00
loop_
_symmetry_equiv_pos_as_xyz
'x,y,z'
loop_
_atom_site_label
_atom_site_fract_x
_atom_site_fract_y
_atom_site_fract_z
Ta1 0.0000 0.0000 0.0000
Tc1 0.0034 0.0000 0.5784
Tc2 0.5023 0.5000 0.7974
Pb1 0.5019 0.5000 0.3087
# Calculated formation energy, eV/f.u.: 1.40
# SG: Pm
# Density, g cm⁻³: 13.5
# DFT total energy, eV/atom: -8.724